CsHoVO4 | GGA+U | relaxed

Properties
Total moment = 0.1429 μB/atom
Final energy = -7.13 eV/atom
Space-group type = P2_1/m

Lattice parameters (Å, degrees): 5.9469 5.9835 8.0739 90.00 108.57 90.00
Last column: nearest neighbours and their distance in Å.
Fractional coordinates of all 14 atoms:
O 0.4893 0.7500 0.5693  1 V 1.74
Cs 0.2815 0.2500 0.0581  2 O 2.88-3.08
Ho 0.1785 0.2500 0.5372  6 O 2.23-2.39
O 0.5107 0.2500 0.4307  1 V 1.74
Cs 0.7185 0.7500 0.9419  2 O 2.88-3.08
V 0.2850 0.7500 0.3601  4 O 1.74-1.90
V 0.7150 0.2500 0.6399  4 O 1.74-1.90
O 0.5364 0.2500 0.7807  1 V 1.79
O 0.4636 0.7500 0.2193  1 V 1.79
O 0.9497 0.0274 0.6551  1 V 1.90
Ho 0.8215 0.7500 0.4628  6 O 2.23-2.39
O 0.0503 0.5274 0.3449  1 V 1.90
O 0.0503 0.9726 0.3449  1 V 1.90
O 0.9497 0.4726 0.6551  1 V 1.90